Below is crystalline Cs2TiN at its relaxed geometry, with properties calculated at the PBE level.

Computed properties:
E above lowest polymorph, meV/atom: 0.0
Space group: I-42d (122)

a b c (Å): 9.7243 9.7243 9.7243
angles (deg): 92.34 92.34 156.70
Last column: magnetic moment on the atom in μB.
Sites, in units of the cell vectors:
Cs 0.6250 0.3277 0.2027  0.01
Cs 0.1250 0.4223 0.7973  0.01
Cs 0.6723 0.8750 0.2973  0.01
Cs 0.5777 0.3750 0.7027  0.01
Ti 0.0000 0.0000 0.0000  0.81
Ti 0.2500 0.7500 0.5000  0.81
N 0.5000 0.5000 0.0000  -0.07
N 0.7500 0.2500 0.5000  -0.07



Below is crystalline Cs2TiN at its relaxed geometry, with properties calculated at the PBE level.

Computed properties:
E above lowest polymorph, meV/atom: 1592.6
Space group: Fm-3m (225)

a b c (Å): 5.6029 5.6029 5.6029
angles (deg): 60.00 60.00 60.00
Last column: magnetic moment on the atom in μB.
Sites, in units of the cell vectors:
Cs 0.2500 0.2500 0.2500  0.10
Cs 0.7500 0.7500 0.7500  0.10
N 0.0000 0.0000 0.0000  -0.81
Ti 0.5000 0.5000 0.5000  2.46



Below is crystalline CsTiN3 at its relaxed geometry, with properties calculated at the PBE level.

Computed properties:
Space group: Pm-3m (221)

a b c (Å): 4.2512 4.2512 4.2512
angles (deg): 90.00 90.00 90.00
Last column: magnetic moment on the atom in μB.
Sites, in units of the cell vectors:
Cs 0.0000 0.0000 0.0000  0.01
N 0.0000 0.5000 0.0000  -0.25
N 0.0000 0.0000 0.5000  -0.21
N 0.5000 0.0000 0.0000  -0.22
Ti 0.5000 0.5000 0.5000  1.30



Below is crystalline CsTiN3 at its relaxed geometry, with properties calculated at the PBE level.

Computed properties:
Space group: Pm-3m (221)

a b c (Å): 4.2614 4.2614 4.2614
angles (deg): 90.00 90.00 90.00
Last column: magnetic moment on the atom in μB.
Sites, in units of the cell vectors:
Cs 0.5000 0.5000 0.5000  0.11
Ti 0.0000 0.0000 0.0000  -0.32
N 0.0000 0.5000 0.0000  0.93
N 0.0000 0.0000 0.5000  0.93
N 0.5000 0.0000 0.0000  0.93



Below is crystalline CsTl2N2 at its relaxed geometry, with properties calculated at the PBE level.

Computed properties:
Space group: I4/mmm (139)

a b c (Å): 4.7384 4.7384 7.1523
angles (deg): 70.66 70.66 90.00
Sites, in units of the cell vectors:
Cs 0.0000 0.0000 0.0000
Tl 0.7500 0.2500 0.5000
Tl 0.2500 0.7500 0.5000
N 0.2841 0.2841 0.4319
N 0.7159 0.7159 0.5681



Below is crystalline Cs3TlN at its relaxed geometry, with properties calculated at the PBE level.

Computed properties:
Space group: Pm-3m (221)

a b c (Å): 6.1305 6.1305 6.1305
angles (deg): 90.00 90.00 90.00
Sites, in units of the cell vectors:
Cs 0.0000 0.5000 0.0000
Cs 0.0000 0.0000 0.5000
Cs 0.5000 0.0000 0.0000
Tl 0.5000 0.5000 0.5000
N 0.0000 0.0000 0.0000



Number 1: spin magnetization 1.1 μB/f.u., VASP energy -4.329 eV/atom, formation energy from raw total energies 15 kJ/mol of atoms. Number 2: spin magnetization 3.0 μB/f.u., VASP energy -2.737 eV/atom, formation energy from raw total energies 168 kJ/mol of atoms. Number 3: spin magnetization 0.6 μB/f.u., VASP energy -3.969 eV/atom, formation energy from raw total energies 268 kJ/mol of atoms. Number 4: spin magnetization 3.8 μB/f.u., VASP energy -6.164 eV/atom, formation energy from raw total energies 56 kJ/mol of atoms. Number 5: spin magnetization 0.0 μB/f.u., VASP energy -3.599 eV/atom, formation energy from raw total energies 82 kJ/mol of atoms. Number 6: spin magnetization 0.0 μB/f.u., VASP energy -2.073 eV/atom, formation energy from raw total energies 56 kJ/mol of atoms.